Entry 1:
Compound: TbIn2Pd
Source: Alexandria
Functional: GGA-PBE
Structure: relaxed

abc: 4.7337 4.3642 4.3642
angles: 90.00 90.00 90.00
With the nearest neighbours (Å) after each atom.
Fractional coordinates of all 4 atoms:
Tb  0.5000  0.5000  0.5000  4 Pd 3.09, 8 In 3.22
Pd  0.5000  0.0000  0.0000  4 Tb 3.09, 8 In 3.22
In  0.0000  0.0000  0.5000  4 In 3.09, 4 Tb 3.22, 4 Pd 3.22
In  0.0000  0.5000  0.0000  4 In 3.09, 4 Tb 3.22, 4 Pd 3.22

The volume is 90.2 Å³/cell. Its density of states at the Fermi level is 0.802 states/eV per atom. For the total energy, the calculation gives -4.320 eV per atom. For the formation enthalpy at 0 K, the calculation gives -0.4947 eV/atom.

---

Entry 2:
Compound: TbSi2NiPt5
Source: Alexandria
Functional: GGA-PBE
Structure: relaxed

abc: 4.0466 4.0466 10.2599
angles: 90.00 90.00 90.00
With the nearest neighbours (Å) after each atom.
Fractional coordinates of all 9 atoms:
Tb  0.0000  0.0000  0.5000  4 Pt 2.86
Si  0.5000  0.5000  0.2711  5 Pt 2.35-2.36
Si  0.5000  0.5000  0.7289  5 Pt 2.35-2.36
Ni  0.0000  0.0000  0.0000  8 Pt 2.55
Pt  0.0000  0.5000  0.1520  2 Si 2.36, 2 Ni 2.55
Pt  0.5000  0.0000  0.1520  2 Si 2.36, 2 Ni 2.55
Pt  0.0000  0.5000  0.8480  2 Si 2.36, 2 Ni 2.55
Pt  0.5000  0.0000  0.8480  2 Si 2.36, 2 Ni 2.55
Pt  0.5000  0.5000  0.5000  2 Si 2.35

The volume is 168.0 Å³/cell. Its density of states at the Fermi level is 0.821 states/eV per atom. For the uncorrected formation energy, the calculation gives -503 kJ/mol of formula units. For the total energy, the calculation gives -6.298 eV per atom.